[1]
LaB3N | PBE | optimized geometry

a = 3.912 Å, b = 3.912 Å, c = 3.912 Å
α = 90.00°, β = 90.00°, γ = 90.00°
Atoms (fractional coordinates):
1 La 0.000 0.000 0.000
2 B 0.000 0.500 0.500
3 B 0.500 0.000 0.500
4 B 0.500 0.500 0.000
5 N 0.500 0.500 0.500

Values from the calculation:
space group: No. 221
E_form (uncorrected): 1.58 eV per atom
crystal system: cubic

=====

[2]
La2B3N2 | PBE | optimized geometry

a = 3.415 Å, b = 4.120 Å, c = 6.802 Å
α = 90.00°, β = 104.61°, γ = 90.00°
Atoms (fractional coordinates):
1 La 0.133 0.000 0.270
2 La 0.867 0.000 0.730
3 B 0.282 0.500 0.563
4 B 0.500 0.500 0.000
5 B 0.718 0.500 0.437
6 N 0.396 0.500 0.791
7 N 0.604 0.500 0.209

Values from the calculation:
space group: No. 10
E_form (uncorrected): -0.79 eV per atom
crystal system: monoclinic

=====

[3]
NaLaBN2 | PBE | optimized geometry

a = 4.131 Å, b = 4.131 Å, c = 5.037 Å
α = 90.00°, β = 90.00°, γ = 90.00°
Atoms (fractional coordinates):
1 Na 0.000 0.000 0.000
2 La 0.000 0.000 0.500
3 B 0.500 0.500 0.500
4 N 0.000 0.500 0.000
5 N 0.500 0.000 0.000

Values from the calculation:
space group: No. 123
E_form (uncorrected): 2.11 eV per atom
crystal system: tetragonal

=====

[4]
NaLaBN2 | PBE | optimized geometry

a = 5.689 Å, b = 3.992 Å, c = 6.677 Å
α = 90.00°, β = 104.11°, γ = 90.00°
Atoms (fractional coordinates):
1 Na 0.000 0.052 0.250
2 Na 0.000 0.948 0.750
3 La 0.500 0.272 0.750
4 La 0.500 0.728 0.250
5 B 0.000 0.500 0.000
6 B 0.000 0.500 0.500
7 N 0.210 0.327 0.009
8 N 0.210 0.673 0.509
9 N 0.790 0.327 0.491
10 N 0.790 0.673 0.991

Values from the calculation:
space group: No. 13
E_form (uncorrected): -0.70 eV per atom
crystal system: monoclinic

=====

[5]
NaLaB2N | PBE | optimized geometry

a = 4.312 Å, b = 4.312 Å, c = 4.292 Å
α = 90.00°, β = 90.00°, γ = 90.00°
Atoms (fractional coordinates):
1 Na 0.000 0.000 0.000
2 La 0.500 0.500 0.500
3 B 0.000 0.500 0.000
4 B 0.500 0.000 0.000
5 N 0.000 0.000 0.500

Values from the calculation:
space group: No. 123
E_form (uncorrected): 1.52 eV per atom
crystal system: tetragonal

=====

[6]
LaNdBN3 | PBE | optimized geometry

a = 5.703 Å, b = 5.703 Å, c = 6.423 Å
α = 90.00°, β = 90.00°, γ = 120.00°
Atoms (fractional coordinates):
1 La 0.333 0.667 0.250
2 La 0.667 0.333 0.750
3 Nd 0.000 0.000 0.000
4 Nd 0.000 0.000 0.500
5 B 0.333 0.667 0.750
6 B 0.667 0.333 0.250
7 N 0.185 0.371 0.750
8 N 0.185 0.815 0.750
9 N 0.371 0.185 0.250
10 N 0.629 0.815 0.750
11 N 0.815 0.185 0.250
12 N 0.815 0.629 0.250

Values from the calculation:
space group: No. 194
E_form (uncorrected): -1.12 eV per atom
crystal system: hexagonal

=====

[7]
La3Ni2B2N3 | PBE | optimized geometry

a = 3.761 Å, b = 3.761 Å, c = 10.347 Å
α = 100.45°, β = 100.45°, γ = 89.89°
Atoms (fractional coordinates):
1 La 0.000 0.000 0.000
2 La 0.369 0.369 0.740
3 La 0.631 0.631 0.260
4 Ni 0.250 0.750 0.500
5 Ni 0.750 0.250 0.500
6 B 0.200 0.200 0.399
7 B 0.800 0.800 0.601
8 N 0.128 0.128 0.254
9 N 0.500 0.500 0.000
10 N 0.872 0.872 0.746

Values from the calculation:
space group: No. 12
E_form (uncorrected): -1.04 eV per atom
crystal system: monoclinic

=====

[8]
La3NpB2N6 | PBE | optimized geometry

a = 5.644 Å, b = 5.644 Å, c = 6.582 Å
α = 90.00°, β = 90.00°, γ = 120.00°
Atoms (fractional coordinates):
1 La 0.000 0.000 0.000
2 La 0.333 0.667 0.664
3 La 0.667 0.333 0.336
4 Np 0.000 0.000 0.500
5 B 0.333 0.667 0.256
6 B 0.667 0.333 0.744
7 N 0.184 0.369 0.290
8 N 0.184 0.816 0.290
9 N 0.369 0.184 0.710
10 N 0.631 0.816 0.290
11 N 0.816 0.184 0.710
12 N 0.816 0.631 0.710

Values from the calculation:
space group: No. 164
E_form (uncorrected): -1.10 eV per atom
crystal system: trigonal

=====

> Number 1 is which compound?

LaB3N